(1)
{
  "formula": "InGaHg",
  "functional": "PBE-GGA",
  "state": "optimized geometry",
  "crystal_system": "triclinic",
  "e_form_ev_per_fu": 0.131,
  "lattice_angstrom": [[5.3022, 0.0000, 0.0000], [1.9067, 5.1319, 0.0000], [2.3772, 1.0305, 5.3695]],
  "species": ["In", "In", "Ga", "Ga", "Hg", "Hg"],
  "fractional_positions": [[0.1969, 0.1928, 0.4638], [0.8031, 0.8072, 0.5362], [0.2659, 0.9154, 0.0300], [0.7341, 0.0846, 0.9700], [0.2967, 0.5047, 0.7875], [0.7033, 0.4953, 0.2125]]
}

---

(2)
{
  "formula": "RbCeTe4",
  "functional": "PBE-GGA",
  "state": "optimized geometry",
  "crystal_system": "tetragonal",
  "formation_energy_uncorrected_ev_per_atom": -0.92,
  "lattice_angstrom": [[6.9504, 0.0000, 0.0000], [0.0000, 6.9504, 0.0000], [0.0000, 0.0000, 9.3215]],
  "species": ["Rb", "Rb", "Ce", "Ce", "Te", "Te", "Te", "Te", "Te", "Te", "Te", "Te"],
  "fractional_positions": [[0.2500, 0.2500, 0.0000], [0.7500, 0.7500, 0.0000], [0.2500, 0.2500, 0.5000], [0.7500, 0.7500, 0.5000], [0.1045, 0.6045, 0.2965], [0.1045, 0.8955, 0.7035], [0.3955, 0.6045, 0.7035], [0.3955, 0.8955, 0.2965], [0.6045, 0.1045, 0.7035], [0.6045, 0.3955, 0.2965], [0.8955, 0.1045, 0.2965], [0.8955, 0.3955, 0.7035]]
}

---

(3)
{
  "formula": "Ti5MnRu6",
  "functional": "PBE-GGA",
  "state": "optimized geometry",
  "crystal_system": "orthorhombic",
  "e_form_ev_per_fu": -7.495,
  "lattice_angstrom": [[-2.1696, 3.0783, 6.5028], [2.1696, -3.0783, 6.5028], [2.1696, 3.0783, -6.5028]],
  "species": ["Ti", "Ti", "Ti", "Ti", "Ti", "Mn", "Ru", "Ru", "Ru", "Ru", "Ru", "Ru"],
  "fractional_positions": [[0.0000, 0.0000, 0.0000], [0.1684, 0.6684, 0.5000], [0.3392, 0.3392, 0.0000], [0.6608, 0.6608, 0.0000], [0.8316, 0.3316, 0.5000], [0.5000, 0.0000, 0.5000], [0.0808, 0.8323, 0.2485], [0.2451, 0.5000, 0.7451], [0.4162, 0.1677, 0.2485], [0.5838, 0.8323, 0.7515], [0.7549, 0.5000, 0.2549], [0.9192, 0.1677, 0.7515]]
}

---

Number 1: Fermi-level density of states 2.619 states/eV per cell. Number 2: Fermi-level density of states 13.859 states/eV per cell. Number 3: Fermi-level density of states 6.893 states/eV per cell.